No. 1
Material: Li2Ag2Hg7
Method: DFT, GGA-PBE
State: relaxed

Cell lengths 7.886, 10.757, 6.222 Å; angles 90.00, 107.71, 90.00 degrees
Space group C2/m (No. 12)
Symmetry-distinct sites (fractional):
1 Li 0.139 0.000 0.393 (multiplicity 4)
2 Ag 0.000 0.136 0.000 (multiplicity 4)
3 Hg 0.000 0.500 0.500 (multiplicity 2)
4 Hg 0.175 0.253 0.699 (multiplicity 8)
5 Hg 0.195 0.500 0.092 (multiplicity 4)

---

No. 2
Material: Li5AgHg2
Method: DFT, GGA-PBE
State: relaxed

Cell lengths 4.681, 4.681, 12.768 Å; angles 90.00, 90.00, 90.00 degrees
Space group I4/mmm (No. 139)
Symmetry-distinct sites (fractional):
1 Li 0.000 0.000 0.000 (multiplicity 2)
2 Li 0.000 0.500 0.126 (multiplicity 8)
3 Ag 0.000 0.000 0.500 (multiplicity 2)
4 Hg 0.000 0.000 0.250 (multiplicity 4)

---

No. 3
Material: Li6AgHg12
Method: DFT, GGA-PBE
State: relaxed

Cell lengths 10.5805, 10.5805, 12.5256 Å; angles 90.00, 90.00, 120.00 degrees
Space group R-3 (No. 148, hexagonal axes)
Symmetry-distinct sites (fractional):
1 Li 0.0215 0.5947 0.2077 (multiplicity 18)
2 Ag 0.0000 0.0000 0.5000 (multiplicity 3)
3 Hg 0.0215 0.8296 0.3277 (multiplicity 18)
4 Hg 0.0461 0.2038 0.9051 (multiplicity 18)

---

No. 4
Material: LiAgHg2
Method: DFT, GGA-PBE
State: relaxed

Cell lengths 6.804, 6.804, 6.804 Å; angles 90.00, 90.00, 90.00 degrees
Space group F-43m (No. 216)
Symmetry-distinct sites (fractional):
1 Li 0.000 0.000 0.000 (multiplicity 4)
2 Ag 0.250 0.250 0.750 (multiplicity 4)
3 Hg 0.000 0.000 0.500 (multiplicity 4)
4 Hg 0.250 0.250 0.250 (multiplicity 4)

---

No. 5
Material: Li7Ag3Hg2
Method: DFT, GGA-PBE
State: relaxed

Cell lengths 4.640, 3.053, 15.579 Å; angles 90.00, 98.05, 90.00 degrees
Space group P2/m (No. 10)
Symmetry-distinct sites (fractional):
1 Li 0.000 0.000 0.000 (multiplicity 1)
2 Li 0.100 0.500 0.200 (multiplicity 2)
3 Li 0.269 0.500 0.539 (multiplicity 2)
4 Li 0.429 0.000 0.860 (multiplicity 2)
5 Ag 0.188 0.000 0.381 (multiplicity 2)
6 Ag 0.500 0.500 0.000 (multiplicity 1)
7 Hg 0.358 0.500 0.712 (multiplicity 2)

---

No. 6
Material: Li3AgHg6
Method: DFT, GGA-PBE
State: relaxed

Cell lengths 8.385, 4.859, 10.729 Å; angles 90.00, 110.63, 90.00 degrees
Space group P2_1/m (No. 11)
Symmetry-distinct sites (fractional):
1 Li 0.055 0.250 0.384 (multiplicity 2)
2 Li 0.138 0.750 0.221 (multiplicity 2)
3 Li 0.272 0.250 0.983 (multiplicity 2)
4 Ag 0.457 0.250 0.571 (multiplicity 2)
5 Hg 0.028 0.750 0.924 (multiplicity 2)
6 Hg 0.145 0.250 0.680 (multiplicity 2)
7 Hg 0.234 0.750 0.512 (multiplicity 2)
8 Hg 0.337 0.250 0.283 (multiplicity 2)
9 Hg 0.342 0.750 0.835 (multiplicity 2)
10 Hg 0.424 0.750 0.135 (multiplicity 2)

---

No. 7
Material: Li5Ag5Hg2
Method: DFT, GGA-PBE
State: relaxed

Cell lengths 13.863, 4.546, 8.023 Å; angles 90.00, 125.14, 90.00 degrees
Space group C2/m (No. 12)
Symmetry-distinct sites (fractional):
1 Li 0.000 0.000 0.000 (multiplicity 2)
2 Li 0.081 0.000 0.407 (multiplicity 4)
3 Li 0.250 0.000 0.243 (multiplicity 4)
4 Ag 0.000 0.500 0.500 (multiplicity 2)
5 Ag 0.075 0.500 0.922 (multiplicity 4)
6 Ag 0.177 0.500 0.354 (multiplicity 4)
7 Hg 0.160 0.000 0.811 (multiplicity 4)

---

No. 8
Material: Li2AgHg3
Method: DFT, GGA-PBE
State: relaxed

Cell lengths 3.462, 3.462, 9.583 Å; angles 90.00, 90.00, 90.00 degrees
Space group P4/mmm (No. 123)
Symmetry-distinct sites (fractional):
1 Li 0.000 0.000 0.167 (multiplicity 2)
2 Ag 0.000 0.000 0.500 (multiplicity 1)
3 Hg 0.500 0.500 0.000 (multiplicity 1)
4 Hg 0.500 0.500 0.323 (multiplicity 2)

---

| no. | magnetic moment (μB/cell) | formation energy (eV per atom) |
| --- | --- | --- |
| 1 | 0.00 | -0.043 |
| 2 | 0.00 | -0.262 |
| 3 | 0.00 | -0.211 |
| 4 | 0.00 | -0.125 |
| 5 | 0.00 | -0.149 |
| 6 | 0.00 | -0.208 |
| 7 | 0.00 | -0.202 |
| 8 | 0.00 | -0.236 |